1.
First-principles (PBE) data for Pr12PdAu6 after structural relaxation, as listed in Alexandria.

Summary:
DFT total energy in eV per cell: -90.2
Formation energy from the elements in meV/atom: -419
Magnetization in μB/f.u.: 0.00
Density of states at the Fermi level in states/eV/f.u.: 23.8
Symmetry: R-3

Lattice parameters (Å, degrees): 8.721 8.721 8.721 99.16 99.16 99.16
Fractional positions:
Pr 0.576 0.182 0.425
Au 0.622 0.305 0.132
Pd 0.000 0.000 0.000
Au 0.695 0.868 0.378
Pr 0.424 0.818 0.575
Pr 0.954 0.321 0.069
Pr 0.679 0.931 0.046
Au 0.868 0.378 0.695
Pr 0.046 0.679 0.931
Pr 0.818 0.575 0.424
Au 0.305 0.132 0.622
Au 0.378 0.695 0.868
Pr 0.575 0.424 0.818
Pr 0.425 0.576 0.182
Au 0.132 0.622 0.305
Pr 0.182 0.425 0.576
Pr 0.931 0.046 0.679
Pr 0.069 0.954 0.321
Pr 0.321 0.069 0.954

***

2.
First-principles (PBE) data for Pr4PdAu3 after structural relaxation, as listed in Alexandria.

Summary:
DFT total energy in eV per cell: -40.4
Formation energy from the elements in meV/atom: -788
Magnetization in μB/f.u.: 0.00
Density of states at the Fermi level in states/eV/f.u.: 6.1
Symmetry: Pmm2

Lattice parameters (Å, degrees): 3.952 4.786 11.266 90.00 90.00 90.00
Fractional positions:
Pr 0.500 0.500 0.357
Au 0.000 0.500 0.586
Pr 0.500 0.000 0.638
Pr 0.000 0.500 0.868
Au 0.000 0.000 0.413
Au 0.500 0.000 0.917
Pr 0.000 0.000 0.136
Pd 0.500 0.500 0.085